The following is a GGA+U calculation of a geometry-optimized NiH12S2N2O10 structure, from Alexandria via LeMat-Bulk.

Lattice parameters (Å, degrees): 6.532 6.629 6.851 89.15 67.06 69.35
Site moments in Bohr magnetons follow the coordinates.
Fractional coordinates of all 27 atoms:
1 H 0.723 0.093 0.407  0.00
2 H 0.764 0.302 0.813  0.00
3 H 0.724 0.331 0.326  0.00
4 H 0.277 0.907 0.593  0.00
5 H 0.182 0.297 0.828  0.00
6 H 0.792 0.709 0.952  0.00
7 H 0.755 0.072 0.759  0.00
8 H 0.208 0.291 0.048  0.00
9 H 0.245 0.928 0.241  0.00
10 H 0.818 0.703 0.172  0.00
11 H 0.276 0.669 0.674  0.00
12 H 0.236 0.698 0.187  0.00
13 O 0.355 0.400 0.188  0.00
14 O 0.645 0.600 0.812  0.00
15 O 0.124 0.253 0.971  0.03
16 O 0.850 0.143 0.793  0.03
17 O 0.269 0.401 0.570  0.01
18 O 0.731 0.599 0.430  0.01
19 O 0.361 0.067 0.349  0.00
20 O 0.150 0.857 0.207  0.03
21 O 0.639 0.933 0.651  0.00
22 O 0.876 0.747 0.029  0.03
23 S 0.396 0.273 0.356  0.00
24 S 0.604 0.727 0.644  0.00
25 Ni 0.000 0.000 0.000  1.79
26 N 0.304 0.807 0.706  0.03
27 N 0.696 0.193 0.294  0.03

Calculated values
Total magnetic moment, μB/cell: 2.00
Crystal system: triclinic
Energy, eV/cell: -143.55
SG: P-1